A relaxed SrY2RuO8 crystal, computed with PBE.

Cell: 4.3524 5.1202 7.0302 Å, 89.22 73.59 88.28°
Space group P-1 (No. 2)
Inequivalent atoms, fractional coordinates:
1 Sr 0.0000 0.0000 0.0000 x1
2 Y 0.3909 0.5169 0.2853 x2
3 Ru 0.0000 0.0000 0.5000 x1
4 O 0.1682 0.3095 0.5956 x2
5 O 0.2251 0.7819 0.6259 x2
6 O 0.2370 0.4969 0.0061 x2
7 O 0.3478 0.9823 0.2516 x2

Raw total energy ... -7.4160 eV per atom
Theoretical density ... 5.5 Mg/m³